Entry 1:
This record from the Alexandria database describes crystalline InPt2Au at its relaxed geometry. The functional is GGA-PBEsol.

Geometry as POSCAR:
```
InPt2Au
1.0
-2.6479 -3.1711 1.8982
1.8436 -3.8232 1.6294
0.1653 -0.7111 4.4875
Pt In Au
2 1 1
direct
0.0000 0.0000 0.0000
0.2500 0.2500 0.2500
0.7500 0.7500 0.7500
0.5000 0.5000 0.5000
```

Results
SG: F-43m (216)
Calculated formation energy, eV/atom: -0.176
Uncorrected energy, eV for the cell shown: -21.54

---

Entry 2:
This record from the Alexandria database describes crystalline ScTeI2O at its relaxed geometry. The functional is GGA-PBEsol.

Geometry as POSCAR:
```
ScTeI2O
1.0
3.8265 0.0000 0.0000
0.0000 5.8872 0.0000
0.0000 0.0000 5.8872
O I Te Sc
1 2 1 1
direct
0.5000 0.0000 0.0000
0.0000 0.0000 0.5000
0.0000 0.5000 0.0000
0.5000 0.5000 0.5000
0.0000 0.0000 0.0000
```

Results
Formation energy (no corrections), eV per atom: -1.01
SG: P4/mmm (123)
Uncorrected energy, eV for the cell shown: -23.99

---

Entry 3:
This record from the Alexandria database describes crystalline KSr at its relaxed geometry. The functional is GGA-PBEsol.

Geometry as POSCAR:
```
KSr
1.0
-3.4920 0.4970 2.4578
2.8915 -3.0326 0.9615
7.3078 9.6416 8.4333
Sr K
2 2
direct
0.3333 0.6667 0.6141
0.6667 0.3333 0.3859
0.6667 0.3333 0.8663
0.3333 0.6667 0.1337
```

Results
SG: P-3m1 (164)
Calculated formation energy, eV/atom: 0.054
Uncorrected energy, eV for the cell shown: -5.73